First-principles (PBE) data for a geometry-optimized MgCr3In structure, as listed in Alexandria via LeMat-Bulk.

mass density: 3.61 g/cm³
ΔE_f: 659 kJ/mol of formula units
VASP energy: -5.275 eV per atom

a = 5.1388 Å, b = 5.1388 Å, c = 5.1388 Å
α = 90.00°, β = 90.00°, γ = 90.00°
With the nearest neighbours (Å) after each atom.
Sites, in units of the cell vectors:
Cr (0.0000, 0.5000, 0.0000)  2 In 2.57
Cr (0.0000, 0.0000, 0.5000)  2 In 2.57
Cr (0.5000, 0.0000, 0.0000)  2 In 2.57
Mg (0.5000, 0.5000, 0.5000)  12 Cr 3.63
In (0.0000, 0.0000, 0.0000)  6 Cr 2.57


First-principles (PBE) data for a geometry-optimized TlNi3As structure, as listed in Alexandria via LeMat-Bulk.

mass density: 7.22 g/cm³
ΔE_f: 645 kJ/mol of formula units
VASP energy: -3.535 eV per atom

a = 4.7141 Å, b = 4.7141 Å, c = 4.7141 Å
α = 90.00°, β = 90.00°, γ = 90.00°
With the nearest neighbours (Å) after each atom.
Sites, in units of the cell vectors:
Ni (0.0000, 0.5000, 0.0000)  2 Tl 2.36
Ni (0.0000, 0.0000, 0.5000)  2 Tl 2.36
Ni (0.5000, 0.0000, 0.0000)  2 Tl 2.36
Tl (0.0000, 0.0000, 0.0000)  6 Ni 2.36
As (0.5000, 0.5000, 0.5000)  12 Ni 3.33


First-principles (PBE) data for a geometry-optimized Tl16Hg6Pb7 structure, as listed in Alexandria via LeMat-Bulk.

mass density: 10.72 g/cm³
ΔE_f: 109 kJ/mol of formula units
VASP energy: -2.224 eV per atom

a = 10.9071 Å, b = 10.9071 Å, c = 10.9071 Å
α = 60.00°, β = 60.00°, γ = 60.00°
With the nearest neighbours (Å) after each atom.
Sites, in units of the cell vectors:
Tl (0.8608, 0.8608, 0.4176)  3 Pb 3.23, 3 Hg 3.30
Tl (0.8608, 0.8608, 0.8608)  3 Pb 3.23, 3 Hg 3.30
Tl (0.8608, 0.4176, 0.8608)  3 Pb 3.23, 3 Hg 3.30
Tl (0.4176, 0.8608, 0.8608)  3 Pb 3.23, 3 Hg 3.30
Tl (0.1392, 0.1392, 0.1392)  3 Pb 3.23, 3 Hg 3.30
Tl (0.1392, 0.1392, 0.5824)  3 Pb 3.23, 3 Hg 3.30
Tl (0.1392, 0.5824, 0.1392)  3 Pb 3.23, 3 Hg 3.30
Tl (0.5824, 0.1392, 0.1392)  3 Pb 3.23, 3 Hg 3.30
Tl (0.6141, 0.6141, 0.1576)  3 Pb 3.45, 6 Tl 3.52-3.84, 3 Hg 3.54
Tl (0.6141, 0.6141, 0.6141)  3 Pb 3.45, 6 Tl 3.52-3.84, 3 Hg 3.54
Tl (0.6141, 0.1576, 0.6141)  3 Pb 3.45, 6 Tl 3.52-3.84, 3 Hg 3.54
Tl (0.1576, 0.6141, 0.6141)  3 Pb 3.45, 6 Tl 3.52-3.84, 3 Hg 3.54
Tl (0.3859, 0.3859, 0.3859)  3 Pb 3.45, 6 Tl 3.52-3.84, 3 Hg 3.54
Tl (0.3859, 0.3859, 0.8424)  3 Pb 3.45, 6 Tl 3.52-3.84, 3 Hg 3.54
Tl (0.3859, 0.8424, 0.3859)  3 Pb 3.45, 6 Tl 3.52-3.84, 3 Hg 3.54
Tl (0.8424, 0.3859, 0.3859)  3 Pb 3.45, 6 Tl 3.52-3.84, 3 Hg 3.54
Hg (0.2223, 0.7777, 0.2223)  8 Tl 3.30-3.54, 1 Pb 3.43
Hg (0.7777, 0.2223, 0.7777)  8 Tl 3.30-3.54, 1 Pb 3.43
Hg (0.7777, 0.2223, 0.2223)  8 Tl 3.30-3.54, 1 Pb 3.43
Hg (0.2223, 0.7777, 0.7777)  8 Tl 3.30-3.54, 1 Pb 3.43
Hg (0.7777, 0.7777, 0.2223)  8 Tl 3.30-3.54, 1 Pb 3.43
Hg (0.2223, 0.2223, 0.7777)  8 Tl 3.30-3.54, 1 Pb 3.43
Pb (0.0000, 0.0000, 0.0000)  6 Hg 3.43, 8 Tl 3.72
Pb (0.5000, 0.0000, 0.5000)  8 Tl 3.23-3.45
Pb (0.0000, 0.5000, 0.0000)  8 Tl 3.23-3.45
Pb (0.0000, 0.5000, 0.5000)  8 Tl 3.23-3.45
Pb (0.5000, 0.0000, 0.0000)  8 Tl 3.23-3.45
Pb (0.0000, 0.0000, 0.5000)  8 Tl 3.23-3.45
Pb (0.5000, 0.5000, 0.0000)  8 Tl 3.23-3.45


First-principles (PBE) data for a geometry-optimized TaRhBr structure, as listed in Alexandria via LeMat-Bulk.

uncorrected formation energy: -0.017 eV per atom
mass density: 10.80 g/cm³
VASP energy: -6.976 eV per atom

a = 3.1226 Å, b = 3.1226 Å, c = 6.6222 Å
α = 90.00°, β = 90.00°, γ = 120.00°
With the nearest neighbours (Å) after each atom.
Sites, in units of the cell vectors:
Rh (0.6667, 0.3333, 0.3700)  3 Ta 2.64
Br (0.0000, 0.0000, 0.9678)  3 Ta 2.71
Ta (0.3333, 0.6667, 0.6622)  3 Rh 2.64, 3 Br 2.71


First-principles (PBE) data for a geometry-optimized Al3RhBr structure, as listed in Alexandria via LeMat-Bulk.

uncorrected formation energy: -0.375 eV per atom
mass density: 3.93 g/cm³
VASP energy: -4.426 eV per atom

a = 4.8140 Å, b = 4.8140 Å, c = 4.8140 Å
α = 90.00°, β = 90.00°, γ = 90.00°
With the nearest neighbours (Å) after each atom.
Sites, in units of the cell vectors:
Rh (0.0000, 0.0000, 0.0000)  6 Al 2.41
Al (0.0000, 0.5000, 0.0000)  2 Rh 2.41
Al (0.0000, 0.0000, 0.5000)  2 Rh 2.41
Al (0.5000, 0.0000, 0.0000)  2 Rh 2.41
Br (0.5000, 0.5000, 0.5000)  12 Al 3.40


First-principles (PBE) data for a geometry-optimized Mg2Pd13 structure, as listed in Alexandria via LeMat-Bulk.

mass density: 10.23 g/cm³
ΔE_f: -367 kJ/mol of formula units
VASP energy: -4.967 eV per atom

a = 4.8643 Å, b = 6.8577 Å, c = 8.3550 Å
α = 122.90°, β = 95.13°, γ = 90.69°
With the nearest neighbours (Å) after each atom.
Sites, in units of the cell vectors:
Mg (0.9291, 0.7494, 0.6060)  11 Pd 2.74-2.84, 1 Mg 3.00
Mg (0.0709, 0.2506, 0.3940)  11 Pd 2.74-2.84, 1 Mg 3.00
Pd (0.6665, 0.6697, 0.0000)  12 Pd 2.77-2.84
Pd (0.3335, 0.3303, 0.0000)  12 Pd 2.77-2.84
Pd (0.0000, 0.0000, 0.0000)  2 Mg 2.75, 10 Pd 2.77-2.83
Pd (0.2689, 0.0667, 0.6010)  2 Mg 2.74-2.76, 10 Pd 2.78-2.84
Pd (0.7311, 0.9333, 0.3990)  2 Mg 2.74-2.76, 10 Pd 2.78-2.84
Pd (0.1359, 0.5334, 0.7958)  10 Pd 2.76-2.84, 2 Mg 2.80-2.83
Pd (0.8641, 0.4666, 0.2042)  10 Pd 2.76-2.84, 2 Mg 2.80-2.83
Pd (0.3902, 0.5958, 0.4006)  9 Pd 2.76-2.84, 3 Mg 2.79-2.84
Pd (0.6098, 0.4042, 0.5994)  9 Pd 2.76-2.84, 3 Mg 2.79-2.84
Pd (0.4682, 0.8656, 0.7992)  2 Mg 2.75-2.81, 10 Pd 2.76-2.81
Pd (0.5318, 0.1344, 0.2008)  2 Mg 2.75-2.81, 10 Pd 2.76-2.81
Pd (0.8002, 0.2041, 0.7998)  1 Mg 2.74, 11 Pd 2.79-2.83
Pd (0.1998, 0.7959, 0.2002)  1 Mg 2.74, 11 Pd 2.79-2.83


| no. | volume (A^3/atom) | N(E_F) (states/eV/cell) |
| --- | --- | --- |
| 1 | 27.14 | 2.27 |
| 2 | 20.95 | 4.30 |
| 3 | 31.64 | 8.40 |
| 4 | 18.64 | 2.27 |
| 5 | 22.31 | 4.29 |
| 6 | 15.50 | 27.32 |